PBE-GGA ReGeRu2I, optimized geometry; E_form (uncorrected) = 2095.8 meV per atom; SG = No. 123; density of states at the Fermi level = 4.55 states/eV/cell
1.0
4.556 0.000 0.000
0.000 5.387 0.000
0.000 0.000 4.556
I Re Ge Ru
1 1 1 2
Cartesian
0.000 2.694 0.000
2.278 2.694 2.278
0.000 0.000 0.000
0.000 0.000 2.278
2.278 0.000 0.000



PBE-GGA BaPuCl6, optimized geometry; E_form (uncorrected) = -1980.1 meV per atom; SG = No. 2; density of states at the Fermi level = 3.45 states/eV/cell
1.0
7.009 0.012 0.009
3.500 6.080 0.009
3.493 2.019 6.565
Ba Pu Cl
1 1 6
Cartesian
7.001 4.056 3.291
0.000 0.000 0.000
4.423 3.931 5.056
8.387 1.879 5.058
5.815 1.769 1.519
5.615 6.232 1.524
9.579 4.180 1.526
8.187 6.342 5.064



PBE-GGA Hf6Pt2N, optimized geometry; E_form (uncorrected) = -888.3 meV per atom; SG = No. 14; density of states at the Fermi level = 13.96 states/eV/cell
1.0
5.897 0.000 0.101
0.000 6.403 0.000
-0.598 0.000 9.060
Hf Pt N
12 4 2
Cartesian
5.030 6.324 2.404
4.551 4.432 5.050
4.220 4.429 8.702
3.728 1.227 5.039
3.397 1.230 8.692
3.516 3.122 2.276
0.269 0.080 6.756
0.748 1.972 4.111
1.079 1.974 0.459
1.571 5.176 4.122
1.902 5.173 0.469
1.783 3.281 6.884
5.074 2.568 6.961
2.874 5.769 6.780
2.425 0.634 2.381
0.225 3.836 2.200
2.948 3.202 0.050
-0.299 0.000 4.530



PBE-GGA SmMg2Pb2, optimized geometry; SG = No. 194; offset from the most stable computed form = 108.4 meV/atom; DFT formation energy = 0.02 eV per atom; density of states at the Fermi level = 7.13 states/eV/cell
1.0
5.140 0.000 0.000
-2.570 4.451 0.000
0.000 0.000 13.062
Sm Mg Pb
2 4 4
Cartesian
0.000 0.000 3.266
0.000 0.000 9.797
2.570 1.484 9.797
0.000 0.000 0.000
0.000 0.000 6.531
0.000 2.967 3.266
0.000 2.967 8.115
2.570 1.484 1.584
2.570 1.484 4.947
0.000 2.967 11.478



PBE-GGA Sc2PtPb, optimized geometry; SG = No. 25; DFT formation energy = -0.55 eV per atom; density of states at the Fermi level = 2.30 states/eV/cell
1.0
3.459 0.000 0.000
0.000 4.300 0.000
0.000 0.000 6.048
Pb Pt Sc
1 1 2
Cartesian
0.000 0.000 2.814
1.730 2.150 5.009
0.000 0.000 5.738
1.730 2.150 1.560



PBE-GGA LaBe3I, optimized geometry; E_form (uncorrected) = 1719.5 meV per atom; SG = No. 221; offset from the most stable computed form = 534.5 meV/atom; density of states at the Fermi level = 4.15 states/eV/cell
1.0
5.583 0.000 0.000
0.000 5.583 0.000
0.000 0.000 5.583
I Be La
1 3 1
Cartesian
2.791 2.791 2.791
0.000 2.791 0.000
0.000 0.000 2.791
2.791 0.000 0.000
0.000 0.000 0.000